Entry 1:
Cs3B2Pt4 after structural relaxation. Source: the Alexandria database, functional PBE-GGA.

POSCAR file:
```
Cs3B2Pt4
1.0
3.281 0.000 0.000
-1.641 6.444 -0.473
0.000 -3.170 10.483
B Cs Pt
2 3 4
Direct
0.354 0.707 0.245 B
0.646 0.293 0.755 B
0.000 0.000 0.000 Cs
0.358 0.716 0.655 Cs
0.642 0.284 0.345 Cs
0.205 0.410 0.882 Pt
0.078 0.155 0.622 Pt
0.795 0.590 0.118 Pt
0.922 0.845 0.378 Pt
```

Summary:
SG: No. 12

---

Entry 2:
Cs3BPt after structural relaxation. Source: the Alexandria database, functional PBE-GGA.

POSCAR file:
```
Cs3BPt
1.0
6.592 0.000 0.000
0.000 6.592 0.000
0.000 0.000 6.592
Pt Cs B
1 3 1
Direct
0.000 0.000 0.000 Pt
0.000 0.000 0.500 Cs
0.500 0.000 0.000 Cs
0.000 0.500 0.000 Cs
0.500 0.500 0.500 B
```

Summary:
SG: No. 221

---

Entry 3:
CsBPt2 after structural relaxation. Source: the Alexandria database, functional PBE-GGA.

POSCAR file:
```
CsBPt2
1.0
3.559 0.000 0.000
1.779 3.082 0.000
1.779 1.027 7.841
B Pt Cs
1 2 1
Direct
0.000 0.000 0.000 B
0.705 0.705 0.886 Pt
0.295 0.295 0.114 Pt
0.500 0.500 0.500 Cs
```

Summary:
SG: No. 166

---

Entry 4:
Cs2BPt after structural relaxation. Source: the Alexandria database, functional PBE-GGA.

POSCAR file:
```
Cs2BPt
1.0
-5.489 -1.738 0.752
-3.909 0.822 -4.214
-2.044 -4.539 -2.990
Cs Pt B
2 1 1
Direct
0.750 0.750 0.750 Cs
0.250 0.250 0.250 Cs
0.500 0.500 0.500 Pt
0.000 0.000 0.000 B
```

Summary:
Energy above the lowest structure with this stoichiometry in eV/atom: 0.000
SG: No. 225

---

no.,calculated total energy (eV/atom),spin magnetization (μB per cell),mass density (Mg/m³)
1,-4.5552,0.0,9.20
2,-2.1133,2.0,3.50
3,-4.7767,0.0,10.31
4,-2.3409,1.0,5.66